4
Lattice="4.2708 0.0000 0.0000 2.1354 3.6986 0.0000 2.1354 1.2329 3.4871" Properties=species:S:1:pos:R:3 comment="CrOsRh2 (GGA-PBEsol, relaxed)" vol_a3_per_atom=13.770 relative_energy_mev_per_atom=565 dos_ef_per_ev_atom=2.153 e_tot_ev_per_cell=-36.8 pbc="T T T"
Os 4.2708 2.4657 1.7435
Cr 0.0000 0.0000 0.0000
Rh 2.1354 1.2329 0.8718
Rh 6.4062 3.6986 2.6153

4
Lattice="2.8913 0.0000 0.0000 0.0000 4.2592 0.0000 0.0000 0.0000 4.6387" Properties=species:S:1:pos:R:3 comment="InNi2W (GGA-PBEsol, relaxed)" vol_a3_per_atom=14.281 dos_ef_per_ev_atom=0.844 e_tot_ev_per_cell=-27.4 pbc="T T T"
Ni 0.0000 0.0000 0.0000
Ni 1.4457 0.0000 2.3194
W 1.4457 2.1296 0.0000
In 0.0000 2.1296 2.3194

3
Lattice="-0.3397 0.3346 -2.4916 1.5548 -1.8634 0.7389 -5.5196 -3.2841 1.0025" Properties=species:S:1:pos:R:3 comment="CuNiRh (GGA-PBEsol, relaxed)" vol_a3_per_atom=12.091 relative_energy_mev_per_atom=110 dos_ef_per_ev_atom=1.493 e_tot_ev_per_cell=-18.1 pbc="T T T"
Rh -1.0497 -2.1303 -0.8339
Cu -4.2567 -4.7735 -0.7516
Ni -3.3028 -2.7221 0.0848

4
Lattice="-0.5120 -2.7623 -1.0579 2.4298 2.4313 -3.2651 3.9327 -1.8367 2.8925" Properties=species:S:1:pos:R:3 comment="MgTlPt2 (GGA-PBEsol, relaxed)" vol_a3_per_atom=17.298 dos_ef_per_ev_atom=0.441 e_tot_ev_per_cell=-19.2 pbc="T T T"
Mg 1.9664 -0.9184 1.4462
Pt 2.1805 0.0491 -1.1837
Pt 3.6700 -2.2169 -0.2468
Tl -0.2560 -1.3811 -0.5289

10
Lattice="3.8104 0.0000 0.0000 0.0000 5.9953 0.0166 0.0000 0.0061 5.9814" Properties=species:S:1:pos:R:3 comment="Cu2Pt3 (GGA-PBEsol, relaxed)" vol_a3_per_atom=13.664 relative_energy_mev_per_atom=30 dos_ef_per_ev_atom=0.988 e_tot_ev_per_cell=-60.0 pbc="T T T"
Pt 1.9052 4.2210 5.3571
Pt 1.9052 1.7804 0.6409
Pt 1.9052 0.6068 4.1625
Pt 0.0000 3.5862 1.2824
Pt 0.0000 2.4152 4.7156
Pt 1.9052 5.3946 1.8355
Cu 1.9052 3.0007 2.9990
Cu 0.0000 4.8240 3.6151
Cu 0.0000 1.1774 2.3829
Cu 0.0000 0.0000 0.0000

8
Lattice="5.4738 -0.0093 0.0000 -0.7881 5.4168 0.0000 0.0000 0.0000 5.5024" Properties=species:S:1:pos:R:3 comment="Li2BiAu (GGA-PBEsol, relaxed)" vol_a3_per_atom=20.389 dos_ef_per_ev_atom=0.140 e_tot_ev_per_cell=-27.6 pbc="T T T"
Bi 1.5929 1.8383 1.3756
Bi 3.0928 3.5692 4.1268
Li 2.5331 0.6534 4.1268
Li 2.1527 4.7541 1.3756
Li 0.2863 2.6003 4.1268
Li 4.3994 2.8072 1.3756
Au 0.0000 0.0000 2.7512
Au 0.0000 0.0000 0.0000

4
Lattice="2.6606 0.0000 0.0000 0.0000 4.1931 0.0000 0.0000 0.0000 4.5855" Properties=species:S:1:pos:R:3 comment="FeTc2Ru (GGA-PBEsol, relaxed)" vol_a3_per_atom=12.789 relative_energy_mev_per_atom=0 dos_ef_per_ev_atom=1.099 e_tot_ev_per_cell=-41.7 pbc="T T T"
Tc 0.0000 0.0000 0.1803
Tc 0.0000 2.0966 3.2067
Fe 1.3303 0.0000 2.5172
Ru 1.3303 2.0966 0.9740

6
Lattice="3.8371 0.0000 0.0000 -1.9186 6.7240 0.0000 0.0000 0.0000 7.0819" Properties=species:S:1:pos:R:3 comment="Ca2Zn (GGA-PBEsol, relaxed)" vol_a3_per_atom=30.453 dos_ef_per_ev_atom=0.907 e_tot_ev_per_cell=-12.3 pbc="T T T"
Ca 1.9186 3.8467 4.1227
Ca 0.0000 6.4183 1.8867
Ca 1.9186 0.3057 5.4276
Ca 0.0000 2.8773 0.5818
Zn 1.9186 5.1713 6.9474
Zn 0.0000 1.5527 3.4064

4
Lattice="2.9927 0.0000 0.0000 0.0000 5.0243 0.0000 -1.4963 -2.5121 4.7487" Properties=species:S:1:pos:R:3 comment="MgTa2Ag (GGA-PBEsol, relaxed)" vol_a3_per_atom=17.851 dos_ef_per_ev_atom=0.714 e_tot_ev_per_cell=-28.7 pbc="T T T"
Ta 0.0000 2.5121 2.3609
Ta 1.4963 2.5121 4.6484
Ag 0.0000 0.0000 4.7408
Mg 1.4963 0.0000 2.4960

6
Lattice="-3.4653 4.1230 1.1120 -5.3689 -0.5616 -1.0501 -3.5799 -0.4603 4.1492" Properties=species:S:1:pos:R:3 comment="Zr4HgIr (GGA-PBEsol, relaxed)" vol_a3_per_atom=19.601 dos_ef_per_ev_atom=0.946 e_tot_ev_per_cell=-45.3 pbc="T T T"
Hg -9.3106 2.3258 3.1583
Zr -6.3898 3.2415 2.1355
Zr -6.4477 0.9264 3.6696
Zr -4.6394 1.1589 1.5738
Zr -7.3514 0.8753 1.0433
Ir 0.0000 0.0000 0.0000

4
Lattice="-2.4509 -2.8047 -1.0910 1.2824 -3.6375 -0.4333 -1.6584 -3.2816 5.2583" Properties=species:S:1:pos:R:3 comment="CrCoTe2 (GGA-PBEsol, relaxed)" vol_a3_per_atom=19.608 e_form_raw_mev_per_atom=165.3 relative_energy_mev_per_atom=0 dos_ef_per_ev_atom=0.420 e_tot_ev_per_cell=-24.4 pbc="T T T"
Te -0.7376 -2.4585 1.0737
Te -2.0893 -7.2653 2.6603
Co -1.4134 -4.8619 1.8670
Cr 0.0000 0.0000 0.0000

40
Lattice="7.3662 -0.0054 -0.0313 3.6225 6.4139 -0.0313 -0.1733 -0.1011 17.8306" Properties=species:S:1:pos:R:3 comment="Al13Cu3Se24 (GGA-PBEsol, relaxed)" vol_a3_per_atom=21.068 e_form_raw_mev_per_atom=-623.8 dos_ef_per_ev_atom=0.422 e_tot_ev_per_cell=-183.6 pbc="T T T"
Al 7.3806 4.3043 5.3016
Al 3.6362 2.1206 10.3617
Al 5.3641 5.2614 8.1040
Al 7.2207 2.0779 8.1040
Al 1.6489 0.9616 14.1589
Al 3.7384 0.0828 2.1010
Al 5.4739 3.1923 2.0666
Al 3.4978 4.2048 14.1672
Al 1.9129 3.2130 2.1010
Al 0.0919 0.0536 4.4541
Al 5.3821 0.9738 14.1672
Al 7.1922 4.1944 16.0406
Al 10.7727 6.2825 11.1355
Se 3.7019 2.1589 3.5543
Se 9.0565 5.2816 12.6904
Se 1.9841 1.1571 0.6969
Se 7.3903 2.3322 3.5922
Se 9.0412 3.1886 6.7647
Se 7.3724 4.2995 0.7489
Se 1.5815 0.9223 9.6454
Se 5.1889 3.0261 15.6353
Se 7.0966 4.1386 9.5274
Se 1.8277 3.0157 15.6477
Se 9.0784 5.2944 3.6059
Se 3.6845 4.1802 0.6700
Se 10.8365 6.3197 15.4960
Se 5.6690 5.2837 3.5922
Se 3.5137 2.0492 12.7732
Se 3.4068 4.3331 9.5143
Se 7.1878 1.9231 12.6534
Se 5.4490 0.8315 9.5143
Se 5.5122 3.2147 6.6211
Se 5.2131 5.3090 12.6534
Se 7.2273 6.2989 6.7647
Se 5.4526 1.1484 0.6700
Se 3.5247 0.1058 15.6477
Se 10.8339 6.3182 6.7358
Cu 7.1491 4.1693 11.8425
Cu 3.5395 2.0642 5.9359
Cu 0.0388 0.0226 0.1080